1.
This record from Alexandria via LeMat-Bulk describes crystalline KYC at its relaxed geometry. The functional is GGA-PBE.

a b c (Å): 3.555 3.555 6.334
angles (deg): 90.00 90.00 90.00
Element x y z (fractional)
K: 0.000 0.000 0.000
Y: 0.500 0.500 0.500
C: 0.000 0.000 0.500

Computed properties:
Offset from the most stable computed form: 0.5113 eV per atom
Crystal system: tetragonal
Energy of formation: 0.44 eV/atom
M_tot: 0.00 Bohr magnetons per cell
Volume: 80 Å³ per cell

***

2.
This record from Alexandria via LeMat-Bulk describes crystalline Y2CuMo at its relaxed geometry. The functional is GGA-PBE.

a b c (Å): 3.393 3.393 27.033
angles (deg): 90.00 90.00 120.00
Element x y z (fractional)
Y: 0.000 0.000 0.250
Y: 0.000 0.000 0.750
Y: 0.333 0.667 0.416
Y: 0.333 0.667 0.917
Y: 0.667 0.333 0.083
Y: 0.667 0.333 0.584
Cu: 0.000 0.000 0.000
Cu: 0.333 0.667 0.667
Cu: 0.667 0.333 0.333
Mo: 0.000 0.000 0.500
Mo: 0.333 0.667 0.167
Mo: 0.667 0.333 0.833

Computed properties:
Offset from the most stable computed form: 0.2689 eV per atom
Crystal system: trigonal
Energy of formation: 0.41 eV/atom
M_tot: 3.27 Bohr magnetons per cell
Volume: 270 Å³ per cell

***

3.
This record from Alexandria via LeMat-Bulk describes crystalline Na2AlPt2 at its relaxed geometry. The functional is GGA-PBE.

a b c (Å): 6.323 6.323 4.982
angles (deg): 90.00 90.00 90.00
Element x y z (fractional)
Na: 0.168 0.332 0.000
Na: 0.332 0.832 0.000
Na: 0.668 0.168 0.000
Na: 0.832 0.668 0.000
Al: 0.000 0.000 0.500
Al: 0.500 0.500 0.500
Pt: 0.144 0.644 0.500
Pt: 0.356 0.144 0.500
Pt: 0.644 0.856 0.500
Pt: 0.856 0.356 0.500

Computed properties:
Crystal system: tetragonal
Energy of formation: -0.47 eV/atom
M_tot: 0.00 Bohr magnetons per cell
Volume: 199 Å³ per cell

***

4.
This record from Alexandria via LeMat-Bulk describes crystalline V2GaGe4 at its relaxed geometry. The functional is GGA-PBE.

a b c (Å): 4.937 4.937 12.123
angles (deg): 90.00 90.00 90.00
Element x y z (fractional)
V: 0.000 0.000 0.087
V: 0.000 0.000 0.913
V: 0.500 0.500 0.413
V: 0.500 0.500 0.587
Ga: 0.000 0.000 0.500
Ga: 0.500 0.500 0.000
Ge: 0.000 0.000 0.294
Ge: 0.000 0.000 0.706
Ge: 0.000 0.500 0.000
Ge: 0.000 0.500 0.500
Ge: 0.500 0.000 0.000
Ge: 0.500 0.000 0.500
Ge: 0.500 0.500 0.206
Ge: 0.500 0.500 0.794

Computed properties:
Crystal system: tetragonal
Energy of formation: 0.68 eV/atom
M_tot: 0.00 Bohr magnetons per cell
Volume: 295 Å³ per cell

***

> What is the formula in the third record?

Na2AlPt2

***

> Among the records above, which one has the lowest energy of formation?

Na2AlPt2

***

> Which of these has the highest energy of formation?

V2GaGe4

***

> volume of number 4 (V2GaGe4)?

295 Å³ per cell